No. 1
UNi2Pb | PBE | relaxed

ρ = 13.1 Mg/m³
Spin magnetization = 1.44 μB/f.u.
Calculated formation energy = 0.08 eV/f.u.
E = -26.5 eV per formula unit
Fermi-level density of states = 21.90 states/eV/cell
Crystal system = cubic

abc: 6.5848 6.5848 6.5848
angles: 90.00 90.00 90.00
With the nearest neighbours (Å) after each atom.
Space group Fm-3m (No. 225)
Asymmetric unit:
U 0.0000 0.0000 0.0000  8 Ni 2.85
Ni 0.2500 0.2500 0.2500  4 Pb 2.85, 4 U 2.85
Pb 0.0000 0.0000 0.5000  8 Ni 2.85

=====

No. 2
V2ZnNiPb | PBE | relaxed

ρ = 7.1 Mg/m³
Spin magnetization = 0.00 μB/f.u.
Calculated formation energy = 7.73 eV/f.u.
E = -21.3 eV per formula unit
Fermi-level density of states = 8.63 states/eV/cell
Crystal system = tetragonal

abc: 4.5216 4.5216 4.9521
angles: 90.00 90.00 90.00
With the nearest neighbours (Å) after each atom.
Space group P4/mmm (No. 123)
Asymmetric unit:
V 0.0000 0.5000 0.0000  2 Zn 2.26
Zn 0.0000 0.0000 0.0000  4 V 2.26, 2 Pb 2.48
Ni 0.5000 0.5000 0.5000  4 Pb 3.20, 8 V 3.35
Pb 0.0000 0.0000 0.5000  2 Zn 2.48

=====

No. 3
NiPbW2 | PBE | relaxed

ρ = 15.6 Mg/m³
Spin magnetization = 0.00 μB/f.u.
Calculated formation energy = 3.53 eV/f.u.
E = -31.9 eV per formula unit
Fermi-level density of states = 8.56 states/eV/cell
Crystal system = orthorhombic

abc: 5.3319 8.7038 2.9142
angles: 90.00 90.00 90.00
With the nearest neighbours (Å) after each atom.
Space group Cmmm (No. 65)
Asymmetric unit:
Ni 0.0000 0.0000 0.0000  2 Pb 2.67, 2 Ni 2.91, 8 W 2.94
Pb 0.0000 0.5000 0.0000  2 Ni 2.67, 2 Pb 2.91, 8 W 2.94
W 0.2500 0.2500 0.5000  4 W 2.67-2.91, 4 Ni 2.94, 4 Pb 2.94

=====

No. 4
NiPbW2 | PBE | relaxed

ρ = 15.1 Mg/m³
Spin magnetization = 0.00 μB/f.u.
Calculated formation energy = 3.36 eV/f.u.
E = -32.0 eV per formula unit
Fermi-level density of states = 8.62 states/eV/cell
Crystal system = trigonal

abc: 2.9160 2.9160 28.3383
angles: 90.00 90.00 120.00
With the nearest neighbours (Å) after each atom.
Space group R-3m (No. 166, hexagonal axes)
Asymmetric unit:
Ni 0.0000 0.0000 0.0000  6 W 2.65, 6 Ni 2.92
Pb 0.0000 0.0000 0.5000  6 Pb 2.92, 6 W 3.17
W 0.0000 0.0000 0.2613  3 Ni 2.65, 6 W 2.92

=====

No. 5
Ni4PbW | PBE | relaxed

ρ = 12.9 Mg/m³
Spin magnetization = 0.46 μB/f.u.
Calculated formation energy = 1.90 eV/f.u.
E = -37.9 eV per formula unit
Fermi-level density of states = 32.90 states/eV/cell
Crystal system = cubic

abc: 6.8645 6.8645 6.8645
angles: 90.00 90.00 90.00
With the nearest neighbours (Å) after each atom.
Space group F-43m (No. 216)
Asymmetric unit:
Ni 0.1235 0.1235 0.3765  6 Ni 2.40-2.46
Pb 0.0000 0.0000 0.0000  12 Ni 2.85, 4 W 2.97
W 0.2500 0.2500 0.7500  12 Ni 2.84, 4 Pb 2.97

=====

No. 6
NiPbW2 | PBE | relaxed

ρ = 15.1 Mg/m³
Spin magnetization = 0.00 μB/f.u.
Calculated formation energy = 2.18 eV/f.u.
E = -33.2 eV per formula unit
Fermi-level density of states = 3.93 states/eV/cell
Crystal system = orthorhombic

abc: 3.4083 4.7418 8.6339
angles: 90.00 90.00 90.00
With the nearest neighbours (Å) after each atom.
Space group Cmm2 (No. 35)
Asymmetric unit:
Ni 0.0000 0.0000 0.0000  2 W 2.48
Pb 0.0000 0.5000 0.2622  2 Ni 2.83, 4 Pb 2.92, 2 W 3.04
W 0.0000 0.0000 0.5540  6 W 2.67-2.92
W 0.0000 0.5000 0.7920  2 Ni 2.48, 2 W 2.67

=====

No. 7
NiPbW2 | PBE | relaxed

ρ = 15.8 Mg/m³
Spin magnetization = 0.00 μB/f.u.
Calculated formation energy = 2.77 eV/f.u.
E = -32.6 eV per formula unit
Fermi-level density of states = 2.30 states/eV/cell
Crystal system = tetragonal

abc: 3.8359 3.8359 4.5331
angles: 90.00 90.00 90.00
With the nearest neighbours (Å) after each atom.
Space group P4/mmm (No. 123)
Asymmetric unit:
Ni 0.0000 0.0000 0.0000  4 Pb 2.71, 8 W 2.97
Pb 0.5000 0.5000 0.0000  4 Ni 2.71, 8 W 2.97
W 0.0000 0.5000 0.5000  4 W 2.71, 4 Ni 2.97, 4 Pb 2.97

=====

No. 8
NiPbW2 | PBE | relaxed

ρ = 15.8 Mg/m³
Spin magnetization = 0.00 μB/f.u.
Calculated formation energy = 2.69 eV/f.u.
E = -32.7 eV per formula unit
Fermi-level density of states = 5.16 states/eV/cell
Crystal system = tetragonal

abc: 3.8612 3.8612 8.9047
angles: 90.00 90.00 90.00
With the nearest neighbours (Å) after each atom.
Space group I4/mmm (No. 139)
Asymmetric unit:
Ni 0.0000 0.0000 0.0000  4 Pb 2.73, 8 W 2.95
Pb 0.0000 0.0000 0.5000  4 Ni 2.73, 8 W 2.95
W 0.0000 0.5000 0.2500  4 W 2.73, 4 Ni 2.95, 4 Pb 2.95

=====

No. 9
NiPbW2 | PBE | relaxed

ρ = 14.6 Mg/m³
Spin magnetization = 0.00 μB/f.u.
Calculated formation energy = 3.80 eV/f.u.
E = -31.6 eV per formula unit
Fermi-level density of states = 15.39 states/eV/cell
Crystal system = tetragonal

abc: 3.7908 3.7908 20.0671
angles: 90.00 90.00 90.00
With the nearest neighbours (Å) after each atom.
Space group I-42d (No. 122)
Asymmetric unit:
Ni 0.0000 0.0000 0.0000  4 Pb 2.68, 4 W 2.83
Pb 0.0000 0.0000 0.5000  4 Ni 2.68, 4 W 2.86
W 0.2365 0.2500 0.1250  4 W 2.61-2.75, 2 Ni 2.83, 2 Pb 2.86

=====

No. 10
NiPbW2 | PBE | relaxed

ρ = 15.5 Mg/m³
Spin magnetization = 0.00 μB/f.u.
Calculated formation energy = 3.33 eV/f.u.
E = -32.1 eV per formula unit
Fermi-level density of states = 6.82 states/eV/cell
Crystal system = monoclinic

abc: 5.4101 9.2809 2.8428
angles: 90.00 108.03 90.00
With the nearest neighbours (Å) after each atom.
Space group C2/m (No. 12)
Asymmetric unit:
Ni 0.0000 0.0000 0.0000  2 Pb 2.71, 4 W 2.84, 2 Ni 2.84
Pb 0.0000 0.5000 0.0000  2 Ni 2.71, 4 W 2.84, 2 Pb 2.84
W 0.2500 0.2500 0.5000  4 W 2.71-2.84, 2 Ni 2.84, 2 Pb 2.84

=====

No. 11
NiPbW3 | PBE | relaxed

ρ = 11.1 Mg/m³
Spin magnetization = 0.72 μB/f.u.
Calculated formation energy = 17.54 eV/f.u.
E = -30.8 eV per formula unit
Energy relative to the lowest polymorph listed for this composition = 1940 meV/atom
Fermi-level density of states = 7.10 states/eV/cell
Crystal system = cubic

abc: 4.9617 4.9617 4.9617
angles: 90.00 90.00 90.00
With the nearest neighbours (Å) after each atom.
Space group Pm-3m (No. 221)
Asymmetric unit:
Ni 0.0000 0.0000 0.0000  12 W 3.51
Pb 0.5000 0.5000 0.5000  6 W 2.48
W 0.0000 0.5000 0.5000  2 Pb 2.48

=====

No. 12
NiPbW2 | PBE | relaxed

ρ = 15.0 Mg/m³
Spin magnetization = 0.00 μB/f.u.
Calculated formation energy = 2.03 eV/f.u.
E = -33.4 eV per formula unit
Fermi-level density of states = 3.57 states/eV/cell
Crystal system = tetragonal

abc: 3.2552 3.2552 6.5989
angles: 90.00 90.00 90.00
With the nearest neighbours (Å) after each atom.
Space group P4mm (No. 99)
Asymmetric unit:
Ni 0.0000 0.0000 0.0000  5 W 2.68-2.72, 4 Pb 2.89
Pb 0.5000 0.5000 0.2653  4 Ni 2.89, 5 W 3.12-3.14
W 0.0000 0.0000 0.5883  4 W 2.67, 1 Ni 2.72
W 0.5000 0.5000 0.7925  4 W 2.67, 4 Ni 2.68

=====

No. 13
NiPbW2 | PBE | relaxed

ρ = 15.7 Mg/m³
Spin magnetization = 0.00 μB/f.u.
Calculated formation energy = 2.42 eV/f.u.
E = -33.0 eV per formula unit
Fermi-level density of states = 5.10 states/eV/cell
Crystal system = monoclinic

abc: 9.6595 3.2099 4.4812
angles: 90.00 105.30 90.00
With the nearest neighbours (Å) after each atom.
Space group C2/m (No. 12)
Asymmetric unit:
Ni 0.0000 0.0000 0.0000  4 Pb 2.76, 6 W 2.79-2.94
Pb 0.0000 0.5000 0.5000  4 Ni 2.76, 6 W 2.90-2.95
W 0.2411 0.5000 0.2278  4 W 2.64-2.89, 3 Ni 2.79-2.94, 3 Pb 2.90-2.95

=====

No. 14
NiPbW2 | PBE | relaxed

ρ = 15.8 Mg/m³
Spin magnetization = 0.00 μB/f.u.
Calculated formation energy = 2.94 eV/f.u.
E = -32.5 eV per formula unit
Fermi-level density of states = 7.60 states/eV/cell
Crystal system = tetragonal

abc: 4.1024 4.1024 7.8953
angles: 90.00 90.00 90.00
With the nearest neighbours (Å) after each atom.
Space group I-4m2 (No. 119)
Asymmetric unit:
Ni 0.0000 0.0000 0.0000  8 W 2.85-2.90, 4 Pb 2.85
Pb 0.0000 0.5000 0.7500  8 W 2.85-2.90, 4 Ni 2.85
W 0.0000 0.0000 0.5000  4 W 2.85, 4 Pb 2.85, 4 Ni 2.90
W 0.0000 0.5000 0.2500  4 Ni 2.85, 4 W 2.85, 4 Pb 2.90